[1]
RbTl3Cl8 (PBE, relaxed); total DFT energy (no corrections) = -2.863 eV per atom; magnetization = 0.000 μB/atom; formation energy (no corrections) = -0.960 eV/atom
1.0
7.8404 0.0000 0.0000
-3.9202 6.7900 0.0000
0.0000 0.0000 9.9792
Rb Tl Cl
1 3 8
direct
0.0000 0.0000 0.0000
0.0000 0.0000 0.5000
0.3333 0.6667 0.8148
0.6667 0.3333 0.1852
0.1611 0.3221 0.7307
0.1611 0.8389 0.7307
0.3221 0.1611 0.2693
0.3333 0.6667 0.0590
0.6667 0.3333 0.9410
0.6779 0.8389 0.7307
0.8389 0.1611 0.2693
0.8389 0.6779 0.2693


[2]
Rb2TlCl (PBE, relaxed); total DFT energy (no corrections) = -2.108 eV per atom; magnetization = 0.000 μB/atom; formation energy (no corrections) = -0.571 eV/atom; relative energy among the computed polymorphs = 0.305 eV/atom
1.0
0.0000 4.4291 4.4291
4.4291 0.0000 4.4291
4.4291 4.4291 0.0000
Rb Tl Cl
2 1 1
direct
0.2500 0.2500 0.2500
0.7500 0.7500 0.7500
0.0000 0.0000 0.0000
0.5000 0.5000 0.5000


[3]
RbTl2Cl8 (PBE, relaxed); total DFT energy (no corrections) = -2.621 eV per atom; magnetization = 0.000 μB/atom; formation energy (no corrections) = -0.759 eV/atom
1.0
4.1074 -7.4833 0.0000
4.1074 7.4833 0.0000
-0.2359 0.0000 5.3495
Rb Tl Cl
1 2 8
direct
0.0000 0.0000 0.0000
0.2680 0.7320 0.5000
0.7320 0.2680 0.5000
0.0985 0.3517 0.5183
0.2510 0.7490 0.0000
0.3517 0.0985 0.5183
0.4279 0.4279 0.1466
0.5721 0.5721 0.8534
0.6483 0.9015 0.4817
0.7490 0.2510 0.0000
0.9015 0.6483 0.4817


[4]
RbTl6Cl8 (PBE, relaxed); total DFT energy (no corrections) = -3.029 eV per atom; magnetization = 0.000 μB/atom; formation energy (no corrections) = -1.033 eV/atom; relative energy among the computed polymorphs = 0.000 eV/atom
1.0
11.3207 0.0000 0.0000
-5.6604 9.8040 0.0000
0.0000 0.0000 4.6437
Rb Tl Cl
1 6 8
direct
0.0000 0.0000 0.0000
0.1303 0.6719 0.2538
0.3281 0.4583 0.2538
0.4583 0.1303 0.7462
0.5417 0.8697 0.2538
0.6719 0.5417 0.7462
0.8697 0.3281 0.7462
0.0297 0.3020 0.2464
0.2723 0.9703 0.2464
0.3020 0.2723 0.7536
0.3333 0.6667 0.7538
0.6667 0.3333 0.2462
0.6980 0.7277 0.2464
0.7277 0.0297 0.7536
0.9703 0.6980 0.7536


[5]
Rb4Tl3Cl8 (PBE, relaxed); total DFT energy (no corrections) = -3.126 eV per atom; magnetization = 0.013 μB/atom; formation energy (no corrections) = -1.410 eV/atom
1.0
6.4194 -6.5602 0.0000
6.4194 6.5602 0.0000
-6.2610 0.0000 6.5104
Rb Tl Cl
4 3 8
direct
0.0000 0.0000 0.0000
0.0000 0.5000 0.0000
0.5000 0.0000 0.0000
0.5000 0.5000 0.5000
0.0000 0.5000 0.5000
0.5000 0.0000 0.5000
0.5000 0.5000 0.0000
0.2554 0.7446 0.5000
0.2562 0.7438 0.0000
0.2643 0.2643 0.5300
0.2724 0.2724 0.0069
0.7276 0.7276 0.9931
0.7357 0.7357 0.4700
0.7438 0.2562 0.0000
0.7446 0.2554 0.5000


[6]
Rb2TlCl6 (PBE, relaxed); total DFT energy (no corrections) = -2.781 eV per atom; magnetization = 0.106 μB/atom; formation energy (no corrections) = -1.071 eV/atom
1.0
7.7149 -3.6333 0.0000
7.7149 3.6333 0.0000
-2.4569 0.0000 5.6645
Rb Tl Cl
2 1 6
direct
0.1689 0.1689 0.1674
0.8311 0.8311 0.8326
0.5000 0.5000 0.5000
0.1247 0.6128 0.3698
0.3249 0.6751 0.0000
0.3872 0.8753 0.6302
0.6128 0.1247 0.3698
0.6751 0.3249 0.0000
0.8753 0.3872 0.6302


[7]
RbTl3Cl (PBE, relaxed); total DFT energy (no corrections) = -2.221 eV per atom; magnetization = 0.000 μB/atom; formation energy (no corrections) = -0.239 eV/atom; relative energy among the computed polymorphs = 0.000 eV/atom
1.0
6.0239 0.0000 0.0000
0.0000 6.0239 0.0000
0.0000 0.0000 6.0239
Rb Tl Cl
1 3 1
direct
0.0000 0.0000 0.0000
0.0000 0.5000 0.5000
0.5000 0.0000 0.5000
0.5000 0.5000 0.0000
0.5000 0.5000 0.5000


[8]
Rb3Tl2Cl8 (PBE, relaxed); total DFT energy (no corrections) = -2.982 eV per atom; magnetization = 0.000 μB/atom; formation energy (no corrections) = -1.259 eV/atom
1.0
3.8585 2.2277 9.3200
-3.8585 2.2277 9.3200
0.0000 -4.4554 9.3200
Rb Tl Cl
3 2 8
direct
0.0000 0.0000 0.0000
0.2031 0.2031 0.2031
0.7969 0.7969 0.7969
0.4090 0.4090 0.4090
0.5910 0.5910 0.5910
0.1959 0.7473 0.7473
0.2527 0.2527 0.8041
0.2527 0.8041 0.2527
0.3173 0.3173 0.3173
0.6827 0.6827 0.6827
0.7473 0.1959 0.7473
0.7473 0.7473 0.1959
0.8041 0.2527 0.2527


[9]
RbTl5Cl6 (PBE, relaxed); total DFT energy (no corrections) = -3.162 eV per atom; magnetization = 0.000 μB/atom; formation energy (no corrections) = -1.172 eV/atom
1.0
4.0041 -6.9274 0.0000
4.0041 6.9274 0.0000
-2.6744 0.0000 7.5460
Rb Tl Cl
1 5 6
direct
0.0000 0.0000 0.0000
0.1665 0.8335 0.5000
0.3334 0.6666 0.0000
0.5000 0.5000 0.5000
0.6666 0.3334 0.0000
0.8335 0.1665 0.5000
0.0840 0.4207 0.2520
0.2541 0.2541 0.7505
0.4207 0.0840 0.2520
0.5793 0.9160 0.7480
0.7459 0.7459 0.2495
0.9160 0.5793 0.7480


[10]
Rb2TlCl4 (PBE, relaxed); total DFT energy (no corrections) = -3.046 eV per atom; magnetization = 0.125 μB/atom; formation energy (no corrections) = -1.376 eV/atom; relative energy among the computed polymorphs = 0.054 eV/atom
1.0
8.0499 0.0000 0.0000
0.0000 7.6815 0.0000
-2.8329 0.0000 8.8372
Rb Tl Cl
4 2 8
direct
0.2034 0.2500 0.0585
0.2396 0.2500 0.5526
0.7604 0.7500 0.4474
0.7966 0.7500 0.9415
0.2664 0.7500 0.8140
0.7336 0.2500 0.1860
0.0163 0.0030 0.7497
0.0163 0.4970 0.7497
0.4579 0.7500 0.6222
0.4751 0.7500 0.1042
0.5249 0.2500 0.8958
0.5421 0.2500 0.3778
0.9837 0.5030 0.2503
0.9837 0.9970 0.2503


[11]
Rb3TmTl3Cl8 (PBE, relaxed); total DFT energy (no corrections) = -3.538 eV per atom; magnetization = 0.000 μB/atom; formation energy (no corrections) = -1.588 eV/atom
1.0
4.7245 2.7277 7.5616
-4.7245 2.7277 7.5616
0.0000 -5.4554 7.5616
Rb Tm Tl Cl
3 1 3 8
direct
0.0000 0.5000 0.5000
0.5000 0.0000 0.5000
0.5000 0.5000 0.0000
0.5000 0.5000 0.5000
0.0000 0.0000 0.5000
0.0000 0.5000 0.0000
0.5000 0.0000 0.0000
0.2511 0.2511 0.2511
0.3025 0.3025 0.6933
0.3025 0.6933 0.3025
0.3067 0.6975 0.6975
0.6933 0.3025 0.3025
0.6975 0.3067 0.6975
0.6975 0.6975 0.3067
0.7489 0.7489 0.7489


[12]
Rb2TmTlCl6 (PBE, relaxed); total DFT energy (no corrections) = -3.938 eV per atom; magnetization = 0.000 μB/atom; formation energy (no corrections) = -1.953 eV/atom
1.0
7.6908 0.0000 0.0000
0.0000 8.1126 0.0000
-7.6128 0.0000 11.0334
Rb Tm Tl Cl
4 2 2 12
direct
0.2245 0.0693 0.2485
0.2245 0.4307 0.7485
0.7755 0.5693 0.2515
0.7755 0.9307 0.7515
0.5000 0.0000 0.0000
0.5000 0.5000 0.5000
0.0000 0.0000 0.5000
0.0000 0.5000 0.0000
0.1742 0.1760 0.9497
0.1742 0.3240 0.4497
0.2702 0.7309 0.9376
0.2702 0.7691 0.4376
0.3862 0.0399 0.7768
0.3862 0.4601 0.2768
0.6138 0.5399 0.7232
0.6138 0.9601 0.2232
0.7298 0.2309 0.5624
0.7298 0.2691 0.0624
0.8258 0.6760 0.5503
0.8258 0.8240 0.0503


[13]
RbTmTlCl6 (PBE, relaxed); total DFT energy (no corrections) = -3.798 eV per atom; magnetization = 0.000 μB/atom; formation energy (no corrections) = -1.700 eV/atom
1.0
7.2450 0.0000 0.0000
-3.6225 6.2744 0.0000
0.0000 0.0000 14.1264
Rb Tm Tl Cl
2 2 2 12
direct
0.0000 0.0000 0.0000
0.0000 0.0000 0.5000
0.3333 0.6667 0.2500
0.6667 0.3333 0.7500
0.3333 0.6667 0.7500
0.6667 0.3333 0.2500
0.0267 0.3906 0.1407
0.0267 0.6361 0.3593
0.3639 0.3906 0.3593
0.3639 0.9733 0.1407
0.3906 0.0267 0.6407
0.3906 0.3639 0.8593
0.6094 0.6361 0.1407
0.6094 0.9733 0.3593
0.6361 0.0267 0.8593
0.6361 0.6094 0.6407
0.9733 0.3639 0.6407
0.9733 0.6094 0.8593


[14]
Rb2UTlCl8 (PBE, relaxed); total DFT energy (no corrections) = -4.154 eV per atom; magnetization = 0.084 μB/atom; formation energy (no corrections) = -1.624 eV/atom
1.0
6.7087 0.0000 0.0000
0.2341 7.5925 0.0000
0.0158 0.0154 9.9369
Rb U Tl Cl
2 1 1 8
direct
0.0009 0.0001 0.2355
0.9991 0.9999 0.7645
0.5000 0.5000 0.5000
0.5000 0.5000 0.0000
0.2092 0.7980 0.9997
0.2747 0.7777 0.5002
0.2869 0.3672 0.3181
0.2874 0.3667 0.6827
0.7126 0.6333 0.3173
0.7131 0.6328 0.6819
0.7253 0.2223 0.4998
0.7908 0.2020 0.0003


[15]
RbU2TlCl8 (PBE, relaxed); total DFT energy (no corrections) = -4.926 eV per atom; magnetization = 0.501 μB/atom; formation energy (no corrections) = -1.536 eV/atom
1.0
7.7077 0.0000 0.0000
-3.8539 6.6751 0.0000
0.0000 0.0000 8.4197
Rb U Tl Cl
1 2 1 8
direct
0.0000 0.0000 0.0000
0.3333 0.6667 0.4197
0.6667 0.3333 0.5803
0.0000 0.0000 0.5000
0.0540 0.3907 0.6510
0.3333 0.6667 0.1062
0.3368 0.9460 0.6510
0.3907 0.3368 0.3490
0.6093 0.6632 0.6510
0.6632 0.0540 0.3490
0.6667 0.3333 0.8938
0.9460 0.6093 0.3490


[16]
RbUTl2Cl8 (PBE, relaxed); total DFT energy (no corrections) = -4.146 eV per atom; magnetization = 0.083 μB/atom; formation energy (no corrections) = -1.500 eV/atom
1.0
6.8799 0.0000 0.0000
0.2484 7.5244 0.0000
0.0062 0.0026 9.5807
Rb U Tl Cl
1 1 2 8
direct
0.0000 0.0000 0.0000
0.0000 0.0000 0.5000
0.5001 0.4998 0.2278
0.4999 0.5002 0.7722
0.1341 0.2003 0.3104
0.1348 0.2000 0.6894
0.3106 0.8139 0.4997
0.3648 0.7240 0.0001
0.6352 0.2760 0.9999
0.6894 0.1861 0.5003
0.8652 0.8000 0.3106
0.8659 0.7997 0.6896


[17]
RbTlV2Cl8 (PBE, relaxed); total DFT energy (no corrections) = -4.324 eV per atom; magnetization = 0.333 μB/atom; formation energy (no corrections) = -1.296 eV/atom
1.0
3.4743 2.0059 9.5693
-3.4743 2.0059 9.5693
0.0000 -4.0118 9.5693
Rb Tl V Cl
1 1 2 8
direct
0.0000 0.0000 0.0000
0.5000 0.5000 0.5000
0.2571 0.2571 0.2571
0.7429 0.7429 0.7429
0.0406 0.8246 0.4380
0.1754 0.5620 0.9594
0.3346 0.3346 0.3346
0.4380 0.0406 0.8246
0.5620 0.9594 0.1754
0.6654 0.6654 0.6654
0.8246 0.4380 0.0406
0.9594 0.1754 0.5620


[18]
Rb2TlVCl6 (PBE, relaxed); total DFT energy (no corrections) = -3.933 eV per atom; magnetization = 0.200 μB/atom; formation energy (no corrections) = -1.483 eV/atom; relative energy among the computed polymorphs = 0.000 eV/atom
1.0
7.2890 0.0000 0.0000
0.0000 10.8249 0.0000
0.0000 0.0000 8.3089
Rb Tl V Cl
4 2 2 12
direct
0.2500 0.0307 0.1921
0.2500 0.4693 0.1921
0.7500 0.5307 0.8079
0.7500 0.9693 0.8079
0.2500 0.2500 0.6979
0.7500 0.7500 0.3021
0.2500 0.7500 0.7949
0.7500 0.2500 0.2051
0.0138 0.7500 0.5962
0.0212 0.7500 0.0053
0.2500 0.5279 0.7952
0.2500 0.9721 0.7952
0.4788 0.7500 0.0053
0.4862 0.7500 0.5962
0.5138 0.2500 0.4038
0.5212 0.2500 0.9947
0.7500 0.0279 0.2048
0.7500 0.4721 0.2048
0.9788 0.2500 0.9947
0.9862 0.2500 0.4038


[19]
RbTl2VCl5 (PBE, relaxed); total DFT energy (no corrections) = -3.933 eV per atom; magnetization = 0.333 μB/atom; formation energy (no corrections) = -1.260 eV/atom
1.0
-2.4564 3.6873 7.6144
2.4564 -3.6873 7.6144
2.4564 3.6873 -7.6144
Rb Tl V Cl
1 2 1 5
direct
0.0000 0.0000 0.0000
0.2946 0.7946 0.5000
0.7054 0.2054 0.5000
0.5000 0.5000 0.0000
0.1451 0.3828 0.7623
0.3795 0.6172 0.7623
0.5000 0.0000 0.5000
0.6205 0.3828 0.2377
0.8549 0.6172 0.2377


[20]
Rb2TlVCl6 (PBE, relaxed); total DFT energy (no corrections) = -3.922 eV per atom; magnetization = 0.200 μB/atom; formation energy (no corrections) = -1.472 eV/atom; relative energy among the computed polymorphs = 0.011 eV/atom
1.0
0.0000 5.4299 5.4299
5.4299 0.0000 5.4299
5.4299 5.4299 0.0000
Rb Tl V Cl
2 1 1 6
direct
0.2500 0.2500 0.2500
0.7500 0.7500 0.7500
0.0000 0.0000 0.0000
0.5000 0.5000 0.5000
0.2796 0.2796 0.7204
0.2796 0.7204 0.2796
0.2796 0.7204 0.7204
0.7204 0.2796 0.2796
0.7204 0.2796 0.7204
0.7204 0.7204 0.2796